Computed, not measured: In3Si after structural relaxation at the PBEsol level of DFT.

a = 3.2287 Å, b = 3.2287 Å, c = 30.6501 Å
α = 90.00°, β = 90.00°, γ = 120.00°
Space group R-3m (No. 166, hexagonal axes)
Symmetry-distinct sites (fractional):
In1 0.0000 0.0000 0.0000 [3 per cell]
In2 0.0000 0.0000 0.2421 [6 per cell]
Si1 0.0000 0.0000 0.5000 [3 per cell]

Computed, not measured: InSi after structural relaxation at the PBEsol level of DFT.

a = 6.862 Å, b = 6.862 Å, c = 6.862 Å
α = 90.00°, β = 90.00°, γ = 90.00°
Space group Fd-3m (No. 227, origin choice 2)
Symmetry-distinct sites (fractional):
In1 0.125 0.125 0.125 [8 per cell]
Si1 0.125 0.125 0.625 [8 per cell]

Computed, not measured: In5Si after structural relaxation at the PBEsol level of DFT.

a = 3.316 Å, b = 3.316 Å, c = 12.853 Å
α = 90.00°, β = 90.00°, γ = 90.00°
Space group P4/mmm (No. 123)
Symmetry-distinct sites (fractional):
In1 0.000 0.000 0.000 [1 per cell]
In2 0.000 0.000 0.359 [2 per cell]
In3 0.500 0.500 0.178 [2 per cell]
Si1 0.500 0.500 0.500 [1 per cell]

Computed, not measured: In2Si after structural relaxation at the PBEsol level of DFT.

a = 4.291 Å, b = 4.291 Å, c = 3.860 Å
α = 90.00°, β = 90.00°, γ = 90.00°
Space group P4/mmm (No. 123)
Symmetry-distinct sites (fractional):
In1 0.000 0.500 0.000 [2 per cell]
Si1 0.000 0.000 0.500 [1 per cell]

Computed, not measured: InSi5 after structural relaxation at the PBEsol level of DFT.

a = 5.1197 Å, b = 5.1197 Å, c = 4.4491 Å
α = 90.00°, β = 90.00°, γ = 120.00°
Space group P6/mmm (No. 191)
Symmetry-distinct sites (fractional):
In1 0.0000 0.0000 0.0000 [1 per cell]
Si1 0.0000 0.5000 0.5000 [3 per cell]
Si2 0.3333 0.6667 0.0000 [2 per cell]

Computed, not measured: SrInSi2Sn after structural relaxation at the PBEsol level of DFT.

a = 5.026 Å, b = 5.026 Å, c = 5.880 Å
α = 90.00°, β = 90.00°, γ = 90.00°
Space group P4/mmm (No. 123)
Symmetry-distinct sites (fractional):
Sr1 0.000 0.000 0.000 [1 per cell]
In1 0.000 0.000 0.500 [1 per cell]
Si1 0.000 0.500 0.500 [2 per cell]
Sn1 0.500 0.500 0.000 [1 per cell]

Across the entries above, total moment takes the values 0.001 0.000 0.001 0.000 0.000 0.000 μB/f.u., respectively.
Across the entries above, energy relative to the elements, uncorrected takes the values 228 439 134 301 412 699 meV per atom, respectively.
Across the entries above, density takes the values 6.707 5.876 7.076 6.021 4.197 4.219 g/cm3, respectively.